1.
# PBE FePb2Cl6, relaxed
# Raw formation energy   -929.8 meV/atom
# Density   3.946 g/cm³
# Total energy   -3.9253 eV per atom
# Energy relative to the lowest polymorph listed for this composition   29.3 meV/atom
# Total magnetization   4.00 μB per formula unit
data_FePb2Cl6
_chemical_formula_sum 'Fe2 Pb4 Cl12'
_cell_length_a 13.579
_cell_length_b 4.165
_cell_length_c 11.496
_cell_angle_alpha 90.00
_cell_angle_beta 117.86
_cell_angle_gamma 90.00
_space_group_name_H-M_alt 'C 1 2/m 1'
_space_group_IT_number 12
_space_group_name_Hall '-C 2y'
loop_
_atom_site_label
_atom_site_type_symbol
_atom_site_fract_x
_atom_site_fract_y
_atom_site_fract_z
Fe1 Fe 0.000 0.000 0.000
Pb1 Pb 0.192 0.500 0.307
Cl1 Cl 0.010 0.000 0.214
Cl2 Cl 0.154 0.500 0.533
Cl3 Cl 0.191 0.000 0.101


2.
# PBE VGaPd2, relaxed
# Density   9.331 g/cm³
# Total energy   -5.9067 eV per atom
# Calculated formation energy   -274 meV/atom
# Total magnetization   0.00 μB per formula unit
data_VGaPd2
_chemical_formula_sum 'V3 Ga3 Pd6'
_cell_length_a 2.8396
_cell_length_b 2.8396
_cell_length_c 25.5009
_cell_angle_alpha 90.00
_cell_angle_beta 90.00
_cell_angle_gamma 120.00
_space_group_name_H-M_alt 'R 3 m'
_space_group_IT_number 160
_space_group_name_Hall 'R 3 -2"'
loop_
_atom_site_label
_atom_site_type_symbol
_atom_site_fract_x
_atom_site_fract_y
_atom_site_fract_z
V1 V 0.0000 0.0000 0.0000
Ga1 Ga 0.0000 0.0000 0.1667
Pd1 Pd 0.0000 0.0000 0.4176
Pd2 Pd 0.0000 0.0000 0.5824


3.
# PBE CaLa3Hg6, relaxed
# Density   9.799 g/cm³
# Total energy   -2.3261 eV per atom
# Calculated formation energy   -467 meV/atom
# Total magnetization   0.00 μB per formula unit
data_CaLa3Hg6
_chemical_formula_sum 'Ca2 La6 Hg12'
_cell_length_a 9.606
_cell_length_b 5.288
_cell_length_c 11.620
_cell_angle_alpha 90.00
_cell_angle_beta 107.57
_cell_angle_gamma 90.00
_space_group_name_H-M_alt 'P 1 21/m 1'
_space_group_IT_number 11
_space_group_name_Hall '-P 2yb'
loop_
_atom_site_label
_atom_site_type_symbol
_atom_site_fract_x
_atom_site_fract_y
_atom_site_fract_z
Ca1 Ca 0.056 0.250 0.405
La1 La 0.222 0.250 0.017
La2 La 0.355 0.750 0.785
La3 La 0.486 0.250 0.622
Hg1 Hg 0.063 0.750 0.879
Hg2 Hg 0.141 0.750 0.186
Hg3 Hg 0.151 0.250 0.701
Hg4 Hg 0.246 0.750 0.494
Hg5 Hg 0.328 0.250 0.309
Hg6 Hg 0.467 0.750 0.078


4.
# PBE ZrPaCr4, relaxed
# Density   9.377 g/cm³
# Total energy   -9.2936 eV per atom
# Calculated formation energy   129 meV/atom
# Total magnetization   0.00 μB per formula unit
data_ZrPaCr4
_chemical_formula_sum 'Zr4 Pa4 Cr16'
_cell_length_a 7.215
_cell_length_b 7.215
_cell_length_c 7.215
_cell_angle_alpha 90.00
_cell_angle_beta 90.00
_cell_angle_gamma 90.00
_space_group_name_H-M_alt 'F -4 3 m'
_space_group_IT_number 216
_space_group_name_Hall 'F -4 2 3'
loop_
_atom_site_label
_atom_site_type_symbol
_atom_site_fract_x
_atom_site_fract_y
_atom_site_fract_z
Zr1 Zr 0.000 0.000 0.000
Pa1 Pa 0.250 0.250 0.250
Cr1 Cr 0.125 0.125 0.625